Entry 1:
Computed, not measured: LaTiMnS2 after structural relaxation at the GGA-PBEsol level of DFT.

Cell lengths 4.1539, 4.6874, 4.6874 Å; angles 90.00, 90.00, 90.00 degrees
Atoms (fractional coordinates):
Mn 0.0000 0.0000 0.0000
S 0.0000 0.0000 0.5000
S 0.0000 0.5000 0.0000
La 0.5000 0.5000 0.5000
Ti 0.5000 0.0000 0.0000

Results
**Crystal system**: tetragonal
**ΔE_f (raw)**: -0.571 eV per atom
**D(E_F)**: 3.88 states/eV/f.u.
**Calculated volume**: 18.3 Å³/atom
**Space group**: P4/mmm, No. 123
**Spin magnetization**: 0.09 μB/atom

=====

Entry 2:
Computed, not measured: BeFe2Co after structural relaxation at the GGA-PBEsol level of DFT.

Cell lengths 3.4129, 3.4129, 3.4628 Å; angles 90.00, 90.00, 90.00 degrees
Atoms (fractional coordinates):
Fe 0.5000 0.0000 0.0000
Fe 0.0000 0.5000 0.0000
Co 0.0000 0.0000 0.5000
Be 0.5000 0.5000 0.5000

Results
**Formation enthalpy at 0 K**: -0.040 eV per atom
**Crystal system**: tetragonal
**D(E_F)**: 3.60 states/eV/f.u.
**Calculated volume**: 10.1 Å³/atom
**Space group**: P4/mmm, No. 123
**Spin magnetization**: 1.50 μB/atom

=====

Entry 3:
Computed, not measured: Li5Sb after structural relaxation at the GGA-PBEsol level of DFT.

Cell lengths 4.6951, 5.1607, 5.1607 Å; angles 120.00, 90.00, 90.00 degrees
Atoms (fractional coordinates):
Li 0.0000 0.6971 0.0000
Li 0.5000 0.6667 0.3333
Li 0.5000 0.3333 0.6667
Li 0.0000 0.3029 0.3029
Li 0.0000 0.0000 0.6971
Sb 0.5000 0.0000 0.0000

Results
**Crystal system**: hexagonal
**ΔE_f (raw)**: -0.367 eV per atom
**D(E_F)**: 2.84 states/eV/f.u.
**Calculated volume**: 18.0 Å³/atom
**Space group**: P-62m, No. 189
**Spin magnetization**: 0.00 μB/atom
**Offset from the most stable computed form**: 61 meV/atom

=====

Entry 4:
Computed, not measured: Cs2RbNa2 after structural relaxation at the GGA-PBEsol level of DFT.

Cell lengths 4.6970, 12.1929, 12.1929 Å; angles 90.00, 90.00, 90.00 degrees
Atoms (fractional coordinates):
Na 0.5000 0.8378 0.3378
Na 0.5000 0.6622 0.8378
Na 0.5000 0.3378 0.1622
Na 0.5000 0.1622 0.6622
Rb 0.0000 0.0000 0.0000
Rb 0.0000 0.5000 0.5000
Cs 0.0000 0.1364 0.3636
Cs 0.0000 0.6364 0.1364
Cs 0.0000 0.8636 0.6364
Cs 0.0000 0.3636 0.8636

Results
**Formation enthalpy at 0 K**: 0.048 eV per atom
**Crystal system**: tetragonal
**D(E_F)**: 3.64 states/eV/f.u.
**Calculated volume**: 69.8 Å³/atom
**Space group**: P4/mbm, No. 127
**Spin magnetization**: 0.00 μB/atom
**Offset from the most stable computed form**: 6 meV/atom

=====

Entry 5:
Computed, not measured: KBeO2 after structural relaxation at the GGA-PBEsol level of DFT.

Cell lengths 4.5875, 4.5875, 5.5560 Å; angles 114.38, 114.38, 90.00 degrees
Atoms (fractional coordinates):
O 0.6250 0.3750 0.2500
O 0.6250 0.3750 0.7500
O 0.6250 0.8750 0.2500
O 0.1250 0.3750 0.7500
K 0.0000 0.0000 0.0000
K 0.2500 0.7500 0.5000
Be 0.5000 0.5000 0.0000
Be 0.7500 0.2500 0.5000

Results
**Crystal system**: tetragonal
**ΔE_f (raw)**: -1.791 eV per atom
**D(E_F)**: 0.81 states/eV/f.u.
**Calculated volume**: 11.9 Å³/atom
**Space group**: I4_1/amd, No. 141
**Spin magnetization**: 0.00 μB/atom

=====

Entry 6:
Computed, not measured: CsK2CdBr after structural relaxation at the GGA-PBEsol level of DFT.

Cell lengths 6.3469, 7.7539, 7.7539 Å; angles 90.00, 90.00, 90.00 degrees
Atoms (fractional coordinates):
Br 0.5000 0.0000 0.0000
K 0.0000 0.0000 0.5000
K 0.0000 0.5000 0.0000
Cs 0.0000 0.0000 0.0000
Cd 0.5000 0.5000 0.5000

Results
**Crystal system**: tetragonal
**ΔE_f (raw)**: -0.125 eV per atom
**D(E_F)**: 1.68 states/eV/f.u.
**Calculated volume**: 76.3 Å³/atom
**Space group**: P4/mmm, No. 123
**Spin magnetization**: 0.00 μB/atom

=====

Entry 7:
Computed, not measured: HfAlC3 after structural relaxation at the GGA-PBEsol level of DFT.

Cell lengths 4.2274, 4.2274, 4.2274 Å; angles 90.00, 90.00, 90.00 degrees
Atoms (fractional coordinates):
Al 0.5000 0.5000 0.5000
C 0.0000 0.5000 0.0000
C 0.0000 0.0000 0.5000
C 0.5000 0.0000 0.0000
Hf 0.0000 0.0000 0.0000

Results
**Formation enthalpy at 0 K**: 2.009 eV per atom
**Crystal system**: cubic
**D(E_F)**: 2.22 states/eV/f.u.
**Calculated volume**: 15.1 Å³/atom
**Space group**: Pm-3m, No. 221
**Spin magnetization**: 0.00 μB/atom

=====

Entry 8:
Computed, not measured: BaSb2 after structural relaxation at the GGA-PBEsol level of DFT.

Cell lengths 4.7295, 4.7295, 10.1172 Å; angles 103.52, 103.52, 90.00 degrees
Atoms (fractional coordinates):
Ba 0.0000 0.0000 0.0000
Ba 0.2500 0.7500 0.5000
Sb 0.6715 0.1715 0.3430
Sb 0.8285 0.3285 0.6570
Sb 0.5785 0.5785 0.1570
Sb 0.4215 0.4215 0.8430

Results
**Crystal system**: tetragonal
**ΔE_f (raw)**: -0.652 eV per atom
**D(E_F)**: 1.61 states/eV/f.u.
**Calculated volume**: 35.6 Å³/atom
**Space group**: I4_1/amd, No. 141
**Spin magnetization**: 0.00 μB/atom

=====

> spin magnetization of number 6 (CsK2CdBr)?

0.00 μB/atom

=====

> Which of these has the highest calculated volume?

CsK2CdBr

=====

> Which of these has the highest spin magnetization?

BeFe2Co

=====

Repeat the fifth record exactly.
Computed, not measured: KBeO2 after structural relaxation at the GGA-PBEsol level of DFT.

Cell lengths 4.5875, 4.5875, 5.5560 Å; angles 114.38, 114.38, 90.00 degrees
Atoms (fractional coordinates):
O 0.6250 0.3750 0.2500
O 0.6250 0.3750 0.7500
O 0.6250 0.8750 0.2500
O 0.1250 0.3750 0.7500
K 0.0000 0.0000 0.0000
K 0.2500 0.7500 0.5000
Be 0.5000 0.5000 0.0000
Be 0.7500 0.2500 0.5000

Results
**Crystal system**: tetragonal
**ΔE_f (raw)**: -1.791 eV per atom
**D(E_F)**: 0.81 states/eV/f.u.
**Calculated volume**: 11.9 Å³/atom
**Space group**: I4_1/amd, No. 141
**Spin magnetization**: 0.00 μB/atom